[1]
The following is a DFT calculation (PBE) of an optimized crystal structure of InFe3S.

Its density of states at the Fermi level is 4.75 states/eV/f.u. For the distance to the lowest polymorph of the same formula, the calculation gives 0.00 eV per formula unit. The uncorrected formation energy is 0.128 eV/atom. Its density is 7.07 Mg/m³. For the total DFT energy (no corrections), the calculation gives -31.61 eV per cell.

The structure belongs to space group Pm-3m (No. 221); the cell edges are 4.1963, 4.1963 and 4.1963 Å and the angles 90.00°, 90.00° and 90.00°. The inequivalent atoms are In at (0.0000, 0.0000, 0.0000), Fe at (0.0000, 0.5000, 0.5000) and S at (0.5000, 0.5000, 0.5000).

[2]
The following is a DFT calculation (PBE) of an optimized crystal structure of InFeS2.

Its density of states at the Fermi level is 4.57 states/eV/f.u. The uncorrected formation energy is -0.303 eV/atom. Its density is 5.00 Mg/m³. For the total DFT energy (no corrections), the calculation gives -62.00 eV per cell.

The structure belongs to space group R-3m (No. 166, hexagonal axes); the cell edges are 3.3105, 3.3105 and 24.6467 Å and the angles 90.00°, 90.00° and 120.00°. The inequivalent atoms are In at (0.0000, 0.0000, 0.0000), Fe at (0.0000, 0.0000, 0.5000) and S at (0.0000, 0.0000, 0.1166).

[3]
The following is a DFT calculation (PBE) of an optimized crystal structure of In2FeS.

Its density of states at the Fermi level is 3.58 states/eV/f.u. The uncorrected formation energy is 0.297 eV/atom. Its density is 6.18 Mg/m³. For the total DFT energy (no corrections), the calculation gives -67.51 eV per cell.

The structure belongs to space group I-42d (No. 122); the cell edges are 7.4651, 7.4651 and 6.1208 Å and the angles 90.00°, 90.00° and 90.00°. The inequivalent atoms are In at (0.2456, 0.2500, 0.1250), Fe at (0.0000, 0.0000, 0.5000) and S at (0.0000, 0.0000, 0.0000).

[4]
The following is a DFT calculation (PBE) of an optimized crystal structure of InFeS2.

Its density of states at the Fermi level is 2.11 states/eV/f.u. The uncorrected formation energy is -0.245 eV/atom. Its density is 4.55 Mg/m³. For the total DFT energy (no corrections), the calculation gives -81.74 eV per cell.

The structure belongs to space group I-42d (No. 122); the cell edges are 6.2289, 6.2289 and 8.8343 Å and the angles 90.00°, 90.00° and 90.00°. The inequivalent atoms are In at (0.0000, 0.0000, 0.0000), Fe at (0.0000, 0.0000, 0.5000) and S at (0.1492, 0.2500, 0.6250).

[5]
The following is a DFT calculation (PBE) of an optimized crystal structure of InFe3S.

Its density of states at the Fermi level is 11.96 states/eV/f.u. For the distance to the lowest polymorph of the same formula, the calculation gives 7.72 eV per formula unit. The uncorrected formation energy is 1.672 eV/atom. Its density is 4.63 Mg/m³. For the total DFT energy (no corrections), the calculation gives -23.90 eV per cell.

The structure belongs to space group Pm-3m (No. 221); the cell edges are 4.8315, 4.8315 and 4.8315 Å and the angles 90.00°, 90.00° and 90.00°. The inequivalent atoms are In at (0.0000, 0.0000, 0.0000), Fe at (0.0000, 0.0000, 0.5000) and S at (0.5000, 0.5000, 0.5000).

[6]
The following is a DFT calculation (PBE) of an optimized crystal structure of InFeS2.

Its density of states at the Fermi level is 7.04 states/eV/f.u. The uncorrected formation energy is -0.054 eV/atom. Its density is 4.19 Mg/m³. For the total DFT energy (no corrections), the calculation gives -59.02 eV per cell.

The structure belongs to space group R-3m (No. 166, hexagonal axes); the cell edges are 3.8447, 3.8447 and 21.8112 Å and the angles 90.00°, 90.00° and 120.00°. The inequivalent atoms are In at (0.0000, 0.0000, 0.0000), Fe at (0.0000, 0.0000, 0.5000) and S at (0.0000, 0.0000, 0.4002).

[7]
The following is a DFT calculation (PBE) of an optimized crystal structure of In3FeS.

Its density of states at the Fermi level is 7.13 states/eV/f.u. For the distance to the lowest polymorph of the same formula, the calculation gives 2.37 eV per formula unit. The uncorrected formation energy is 0.800 eV/atom. Its density is 5.03 Mg/m³. For the total DFT energy (no corrections), the calculation gives -16.81 eV per cell.

The structure belongs to space group Pm-3m (No. 221); the cell edges are 5.2253, 5.2253 and 5.2253 Å and the angles 90.00°, 90.00° and 90.00°. The inequivalent atoms are In at (0.0000, 0.0000, 0.5000), Fe at (0.5000, 0.5000, 0.5000) and S at (0.0000, 0.0000, 0.0000).

[8]
The following is a DFT calculation (PBE) of an optimized crystal structure of In3FeS.

Its density of states at the Fermi level is 10.21 states/eV/f.u. For the distance to the lowest polymorph of the same formula, the calculation gives 0.00 eV per formula unit. The uncorrected formation energy is 0.326 eV/atom. Its density is 5.65 Mg/m³. For the total DFT energy (no corrections), the calculation gives -19.17 eV per cell.

The structure belongs to space group Pm-3m (No. 221); the cell edges are 5.0282, 5.0282 and 5.0282 Å and the angles 90.00°, 90.00° and 90.00°. The inequivalent atoms are In at (0.0000, 0.0000, 0.5000), Fe at (0.0000, 0.0000, 0.0000) and S at (0.5000, 0.5000, 0.5000).

[9]
The following is a DFT calculation (PBE) of an optimized crystal structure of InFe2S2.

Its density of states at the Fermi level is 5.62 states/eV/f.u. The uncorrected formation energy is 0.128 eV/atom. Its density is 5.73 Mg/m³. For the total DFT energy (no corrections), the calculation gives -54.56 eV per cell.

The structure belongs to space group I4/mmm (No. 139); the cell edges are 4.2747, 4.2747 and 9.2140 Å and the angles 90.00°, 90.00° and 90.00°. The inequivalent atoms are In at (0.0000, 0.0000, 0.0000), Fe at (0.0000, 0.0000, 0.3619) and S at (0.0000, 0.5000, 0.2500).

[10]
The following is a DFT calculation (PBE) of an optimized crystal structure of InFeSb2S.

Its density of states at the Fermi level is 6.14 states/eV/f.u. The uncorrected formation energy is 0.489 eV/atom. Its density is 6.08 Mg/m³. For the total DFT energy (no corrections), the calculation gives -21.13 eV per cell.

The structure belongs to space group P4/mmm (No. 123); the cell edges are 5.4925, 5.4925 and 4.0408 Å and the angles 90.00°, 90.00° and 90.00°. The inequivalent atoms are In at (0.0000, 0.0000, 0.0000), Fe at (0.5000, 0.5000, 0.0000), Sb at (0.0000, 0.5000, 0.5000) and S at (0.5000, 0.5000, 0.5000).

[11]
The following is a DFT calculation (PBE) of an optimized crystal structure of InFe4Sb12.

Its density of states at the Fermi level is 12.60 states/eV/f.u. The uncorrected formation energy is -0.027 eV/atom. Its density is 7.62 Mg/m³. For the total DFT energy (no corrections), the calculation gives -173.03 eV per cell.

The structure belongs to space group Im-3 (No. 204); the cell edges are 9.2231, 9.2231 and 9.2231 Å and the angles 90.00°, 90.00° and 90.00°. The inequivalent atoms are In at (0.0000, 0.0000, 0.0000), Fe at (0.2500, 0.2500, 0.2500) and Sb at (0.0000, 0.3339, 0.1611).

[12]
The following is a DFT calculation (PBE) of an optimized crystal structure of InFe2Sb.

Its density of states at the Fermi level is 2.83 states/eV/f.u. For the distance to the lowest polymorph of the same formula, the calculation gives 0.68 eV per formula unit. The uncorrected formation energy is 0.328 eV/atom. Its density is 7.10 Mg/m³. For the total DFT energy (no corrections), the calculation gives -44.95 eV per cell.

The structure belongs to space group C2/m (No. 12); the cell edges are 8.9197, 3.0680 and 6.8296 Å and the angles 90.00°, 119.41° and 90.00°. The inequivalent atoms are In at (0.0000, 0.0000, 0.0000), Fe at (0.2246, 0.5000, 0.3508) and Sb at (0.0000, 0.5000, 0.5000).

[13]
The following is a DFT calculation (PBE) of an optimized crystal structure of InFe2Sb.

Its density of states at the Fermi level is 3.87 states/eV/f.u. For the distance to the lowest polymorph of the same formula, the calculation gives 0.95 eV per formula unit. The uncorrected formation energy is 0.395 eV/atom. Its density is 8.41 Mg/m³. For the total DFT energy (no corrections), the calculation gives -44.41 eV per cell.

The structure belongs to space group I-4m2 (No. 119); the cell edges are 3.9470, 3.9470 and 8.8307 Å and the angles 90.00°, 90.00° and 90.00°. The inequivalent atoms are In at (0.0000, 0.0000, 0.0000), Fe at (0.0000, 0.0000, 0.5000), Fe at (0.0000, 0.5000, 0.2500) and Sb at (0.0000, 0.5000, 0.7500).

[14]
The following is a DFT calculation (PBE) of an optimized crystal structure of InFe2Sb.

Its density of states at the Fermi level is 5.68 states/eV/f.u. For the distance to the lowest polymorph of the same formula, the calculation gives 1.94 eV per formula unit. The uncorrected formation energy is 0.641 eV/atom. Its density is 7.37 Mg/m³. For the total DFT energy (no corrections), the calculation gives -84.89 eV per cell.

The structure belongs to space group I-42d (No. 122); the cell edges are 7.2783, 7.2783 and 5.9247 Å and the angles 90.00°, 90.00° and 90.00°. The inequivalent atoms are In at (0.0000, 0.0000, 0.0000), Fe at (0.2382, 0.7500, 0.6250) and Sb at (0.0000, 0.0000, 0.5000).